A plane-wave DFT calculation with GGA+U was carried out for a relaxed structure of K3Dy2MnO6.

The space group is C2/m (No. 12) and the conventional cell measures 5.803, 10.256 and 6.501 Å, with angles of 90.00, 106.92 and 90.00 degrees. The distinct sites, in fractional coordinates, are K at (0.000, 0.000, 0.000), K at (0.000, 0.338, 0.000), Dy at (0.000, 0.170, 0.500), Mn at (0.000, 0.500, 0.500), O at (0.227, 0.336, 0.691) and O at (0.240, 0.500, 0.333).

As for the total energy: -154.86 eV for the cell shown.